Compound: LaHgP2O8
Source: the Alexandria database
Functional: PBE
Structure: relaxed

Calculated values
Energy relative to the elements, uncorrected: -2038 meV/atom
E: -6.681 eV per atom
Total magnetization: 0.081 μB per atom

abc: 4.917 4.917 7.907
angles: 71.88 71.88 60.00
Site moments in Bohr magnetons follow the coordinates.
Sites, in units of the cell vectors:
P  0.256  0.256  0.233  -0.01
P  0.744  0.744  0.767  -0.01
O  0.449  0.049  0.705  0.12
O  0.326  0.326  0.022  0.06
O  0.951  0.551  0.295  0.12
O  0.797  0.449  0.705  0.12
O  0.203  0.951  0.295  0.12
O  0.674  0.674  0.978  0.06
O  0.049  0.797  0.705  0.12
O  0.551  0.203  0.295  0.12
Hg  0.500  0.500  0.500  0.04
La  0.000  0.000  0.000  0.00

Compound: HfTi3P
Source: the Alexandria database
Functional: PBE
Structure: relaxed

Calculated values
E: -6.470 eV per atom
Energy of formation from the pure elements: 1.340 eV per atom
ΔE to the lowest computed polymorph: 1.9645 eV/atom
Total magnetization: 0.358 μB per atom

abc: 4.794 4.794 4.794
angles: 90.00 90.00 90.00
Site moments in Bohr magnetons follow the coordinates.
Sites, in units of the cell vectors:
Ti  0.000  0.000  0.500  0.30
Ti  0.000  0.500  0.000  0.43
Ti  0.500  0.000  0.000  0.64
Hf  0.000  0.000  0.000  0.00
P  0.500  0.500  0.500  -0.04

Compound: KRb2U3S8
Source: the Alexandria database
Functional: PBE
Structure: relaxed

Calculated values
Energy relative to the elements, uncorrected: -1363 meV/atom
E: -6.357 eV per atom
Total magnetization: 0.357 μB per atom

abc: 8.219 8.219 9.169
angles: 63.37 63.37 60.00
Site moments in Bohr magnetons follow the coordinates.
Sites, in units of the cell vectors:
K  0.870  0.870  0.389  0.00
U  0.499  0.499  0.003  1.79
U  0.999  0.499  0.003  1.79
U  0.499  0.999  0.003  1.79
S  0.242  0.242  0.827  -0.06
S  0.242  0.689  0.827  -0.06
S  0.273  0.273  0.182  -0.06
S  0.727  0.727  0.818  -0.06
S  0.757  0.307  0.180  -0.06
S  0.689  0.242  0.827  -0.06
S  0.307  0.757  0.180  -0.06
S  0.757  0.757  0.180  -0.06
Rb  0.499  0.499  0.503  0.00
Rb  0.133  0.133  0.602  0.00

Compound: KCaRh2
Source: the Alexandria database
Functional: PBE
Structure: relaxed

Calculated values
E: -3.996 eV per atom
Energy of formation from the pure elements: 0.455 eV per atom
ΔE to the lowest computed polymorph: 0.3723 eV/atom
Total magnetization: 0.000 μB per atom

abc: 5.683 5.683 5.683
angles: 146.34 126.92 64.34
Sites, in units of the cell vectors:
Rh  0.511  0.511  0.000
Rh  0.989  0.989  0.000
K  0.250  0.750  0.500
Ca  0.750  0.250  0.500

Compound: AcZrCd4
Source: the Alexandria database
Functional: PBE
Structure: relaxed

Calculated values
E: -2.802 eV per atom
Energy of formation from the pure elements: -0.083 eV per atom
Total magnetization: 0.248 μB per atom

abc: 5.970 5.970 5.970
angles: 60.00 60.00 60.00
Site moments in Bohr magnetons follow the coordinates.
Sites, in units of the cell vectors:
Zr  0.000  0.000  0.000  0.72
Cd  0.122  0.626  0.626  0.00
Cd  0.626  0.122  0.626  0.00
Cd  0.626  0.626  0.626  0.00
Cd  0.626  0.626  0.122  0.00
Ac  0.250  0.250  0.250  0.12

Compound: SrErTe3Au
Source: the Alexandria database
Functional: PBE
Structure: relaxed

Calculated values
Energy relative to the elements, uncorrected: -1180 meV/atom
E: -4.338 eV per atom
Total magnetization: 0.000 μB per atom

abc: 4.368 8.584 10.342
angles: 104.25 90.00 90.00
Sites, in units of the cell vectors:
Er  0.750  0.317  0.831
Er  0.250  0.683  0.169
Te  0.250  0.723  0.468
Te  0.750  0.922  0.139
Te  0.750  0.277  0.532
Te  0.250  0.575  0.857
Te  0.750  0.425  0.143
Te  0.250  0.078  0.861
Au  0.250  0.089  0.593
Au  0.750  0.911  0.407
Sr  0.250  0.212  0.278
Sr  0.750  0.788  0.722

Compound: KPaBi2O6
Source: the Alexandria database
Functional: PBE
Structure: relaxed

Calculated values
Energy relative to the elements, uncorrected: -2081 meV/atom
E: -6.891 eV per atom
Total magnetization: 0.000 μB per atom

abc: 8.754 7.587 7.587
angles: 72.03 65.41 65.41
Sites, in units of the cell vectors:
O  0.965  0.382  0.751
O  0.257  0.965  0.777
O  0.314  0.297  0.418
O  0.186  0.582  0.703
O  0.535  0.249  0.618
O  0.743  0.035  0.223
O  0.686  0.703  0.582
O  0.814  0.418  0.297
O  0.035  0.618  0.249
O  0.465  0.751  0.382
O  0.243  0.223  0.035
O  0.757  0.777  0.965
Pa  0.250  0.263  0.737
Pa  0.750  0.737  0.263
K  0.750  0.175  0.825
K  0.250  0.825  0.175
Bi  0.400  0.679  0.694
Bi  0.600  0.321  0.306
Bi  0.100  0.306  0.321
Bi  0.900  0.694  0.679

Compound: TlRu2Se
Source: the Alexandria database
Functional: PBE
Structure: relaxed

Calculated values
Energy relative to the elements, uncorrected: 395 meV/atom
E: -5.706 eV per atom
ΔE to the lowest computed polymorph: 0.1102 eV/atom
Total magnetization: 0.000 μB per atom

abc: 3.092 3.091 6.961
angles: 90.00 90.00 90.00
Sites, in units of the cell vectors:
Tl  0.500  0.500  0.750
Ru  0.000  0.000  0.040
Ru  0.000  0.000  0.460
Se  0.500  0.500  0.250

Compound: ZnRuCl4
Source: the Alexandria database
Functional: PBE
Structure: relaxed

Calculated values
Energy relative to the elements, uncorrected: 1073 meV/atom
E: -1.916 eV per atom
Total magnetization: 0.902 μB per atom

abc: 5.839 5.839 5.839
angles: 60.00 60.00 60.00
Site moments in Bohr magnetons follow the coordinates.
Sites, in units of the cell vectors:
Cl  0.375  0.375  0.375  0.48
Cl  0.375  0.375  0.874  0.48
Cl  0.375  0.874  0.375  0.48
Cl  0.874  0.375  0.375  0.48
Zn  0.000  0.000  0.000  0.02
Ru  0.750  0.750  0.750  2.86

Compound: Na3CdBi2
Source: the Alexandria database
Functional: PBE
Structure: relaxed

Calculated values
E: -2.360 eV per atom
Energy of formation from the pure elements: -0.255 eV per atom
Total magnetization: 0.000 μB per atom

abc: 6.608 6.633 9.609
angles: 110.19 110.11 90.00
Sites, in units of the cell vectors:
Cd  0.000  0.250  0.000
Cd  0.000  0.750  0.000
Bi  0.647  0.875  0.751
Bi  0.897  0.625  0.249
Bi  0.353  0.125  0.249
Bi  0.103  0.375  0.751
Na  0.500  0.750  0.000
Na  0.500  0.250  0.000
Na  0.083  0.822  0.645
Na  0.439  0.678  0.355
Na  0.561  0.322  0.645
Na  0.917  0.178  0.355

Compound: LiY2In
Source: the Alexandria database
Functional: PBE
Structure: relaxed

Calculated values
E: -4.627 eV per atom
Energy of formation from the pure elements: -0.232 eV per atom
Total magnetization: 0.000 μB per atom

abc: 4.903 3.536 6.367
angles: 73.93 90.00 90.00
Sites, in units of the cell vectors:
Y  0.500  0.290  0.294
Y  0.000  0.959  0.958
In  0.000  0.688  0.497
Li  0.500  0.563  0.752

Compound: SbH2Ru2
Source: the Alexandria database
Functional: PBE
Structure: relaxed

Calculated values
E: -5.469 eV per atom
ΔE to the lowest computed polymorph: 0.1443 eV/atom
Total magnetization: 0.000 μB per atom

abc: 6.019 6.019 3.083
angles: 90.00 90.00 90.00
Sites, in units of the cell vectors:
H  0.444  0.944  0.000
H  0.056  0.444  0.000
H  0.944  0.556  0.000
H  0.556  0.056  0.000
Ru  0.335  0.165  0.500
Ru  0.835  0.335  0.500
Ru  0.165  0.665  0.500
Ru  0.665  0.835  0.500
Sb  0.500  0.500  0.000
Sb  0.000  0.000  0.000

Compound: TbPm5Th3
Source: the Alexandria database
Functional: PBE
Structure: relaxed

Calculated values
E: -5.549 eV per atom
Energy of formation from the pure elements: 0.078 eV per atom
Total magnetization: 0.000 μB per atom

abc: 6.698 9.073 10.509
angles: 74.90 79.80 97.17
Sites, in units of the cell vectors:
Pm  0.055  0.055  0.334
Pm  0.111  0.612  0.167
Pm  0.222  0.723  0.833
Pm  0.389  0.389  0.334
Pm  0.778  0.277  0.167
Pm  0.444  0.944  0.167
Pm  0.611  0.611  0.666
Pm  0.945  0.945  0.666
Pm  0.889  0.388  0.833
Pm  0.556  0.056  0.833
Tb  0.278  0.278  0.666
Tb  0.722  0.722  0.334
Th  0.832  0.335  0.500
Th  0.667  0.667  0.001
Th  0.000  0.000  0.000
Th  0.168  0.665  0.500
Th  0.500  0.000  0.500
Th  0.333  0.333  0.999

Compound: ThRuCl
Source: the Alexandria database
Functional: PBE
Structure: relaxed

Calculated values
Energy relative to the elements, uncorrected: -942 meV/atom
E: -7.123 eV per atom
Total magnetization: 0.000 μB per atom

abc: 4.056 9.022 9.022
angles: 66.51 76.98 76.99
Sites, in units of the cell vectors:
Ru  0.515  0.860  0.110
Ru  0.485  0.140  0.890
Ru  0.515  0.360  0.610
Ru  0.485  0.640  0.390
Cl  0.229  0.146  0.396
Cl  0.228  0.646  0.896
Cl  0.772  0.354  0.104
Cl  0.771  0.854  0.604
Th  0.108  0.017  0.767
Th  0.892  0.483  0.733
Th  0.108  0.517  0.267
Th  0.892  0.983  0.233

Compound: TbDyOs
Source: the Alexandria database
Functional: PBE
Structure: relaxed

Calculated values
E: -7.005 eV per atom
Energy of formation from the pure elements: -0.184 eV per atom
ΔE to the lowest computed polymorph: 0.0369 eV/atom
Total magnetization: 0.000 μB per atom

abc: 4.077 7.123 5.892
angles: 94.37 110.26 106.65
Sites, in units of the cell vectors:
Os  0.457  0.824  0.089
Os  0.543  0.176  0.911
Tb  0.789  0.875  0.703
Tb  0.211  0.125  0.297
Dy  0.093  0.414  0.772
Dy  0.907  0.586  0.228

Compound: MgP2SCl
Source: the Alexandria database
Functional: PBE
Structure: relaxed

Calculated values
Energy relative to the elements, uncorrected: 934 meV/atom
E: -2.743 eV per atom
ΔE to the lowest computed polymorph: 0.4368 eV/atom
Total magnetization: 0.000 μB per atom

abc: 4.581 4.581 4.926
angles: 90.00 90.00 90.00
Sites, in units of the cell vectors:
P  0.000  0.500  0.000
P  0.500  0.000  0.000
S  0.000  0.000  0.500
Cl  0.000  0.000  0.000
Mg  0.500  0.500  0.500

Compound: Ca2Tl6In
Source: the Alexandria database
Functional: PBE
Structure: relaxed

Calculated values
E: -2.523 eV per atom
Energy of formation from the pure elements: -0.197 eV per atom
ΔE to the lowest computed polymorph: 0.0000 eV/atom
Total magnetization: 0.000 μB per atom

abc: 4.846 10.405 10.405
angles: 90.00 90.00 90.00
Sites, in units of the cell vectors:
Tl  0.500  0.165  0.995
Tl  0.500  0.495  0.665
Tl  0.500  0.837  0.337
Tl  0.500  0.835  0.005
Tl  0.500  0.163  0.663
Tl  0.000  0.663  0.837
Tl  0.000  0.665  0.505
Tl  0.000  0.995  0.835
Tl  0.000  0.337  0.163
Tl  0.500  0.505  0.335
Tl  0.000  0.005  0.165
Tl  0.000  0.335  0.495
Ca  0.500  0.166  0.334
Ca  0.500  0.834  0.666
Ca  0.000  0.666  0.166
Ca  0.000  0.334  0.834
In  0.000  0.000  0.500
In  0.500  0.500  0.000

Compound: Li2AlOsPd
Source: the Alexandria database
Functional: PBE
Structure: relaxed

Calculated values
E: -3.749 eV per atom
Energy of formation from the pure elements: 1.049 eV per atom
Total magnetization: 0.367 μB per atom

abc: 4.352 4.352 4.434
angles: 90.00 90.00 90.00
Site moments in Bohr magnetons follow the coordinates.
Sites, in units of the cell vectors:
Os  0.500  0.500  0.500  1.90
Pd  0.000  0.000  0.500  0.02
Li  0.000  0.500  0.000  -0.03
Li  0.500  0.000  0.000  -0.03
Al  0.000  0.000  0.000  -0.01

Compound: Th5Sc3Se8
Source: the Alexandria database
Functional: PBE
Structure: relaxed

Calculated values
Energy relative to the elements, uncorrected: -1534 meV/atom
E: -6.782 eV per atom
Total magnetization: 0.000 μB per atom

abc: 7.971 7.971 8.409
angles: 61.71 61.71 60.00
Sites, in units of the cell vectors:
Th  0.000  0.500  0.000
Th  0.500  0.000  0.000
Th  0.500  0.500  0.000
Th  0.000  0.000  0.000
Th  0.500  0.500  0.500
Se  0.250  0.250  0.728
Se  0.228  0.750  0.272
Se  0.750  0.228  0.272
Se  0.240  0.240  0.280
Se  0.760  0.760  0.720
Se  0.750  0.750  0.272
Se  0.250  0.772  0.728
Se  0.772  0.250  0.728
Sc  0.500  0.000  0.500
Sc  0.000  0.500  0.500
Sc  0.000  0.000  0.500

Compound: TlNiN3
Source: the Alexandria database
Functional: PBE
Structure: relaxed

Calculated values
Energy relative to the elements, uncorrected: 1690 meV/atom
E: -4.935 eV per atom
Total magnetization: 0.000 μB per atom

abc: 3.818 3.818 3.818
angles: 90.00 90.00 90.00
Sites, in units of the cell vectors:
Tl  0.500  0.500  0.500
N  0.500  0.000  0.000
N  0.000  0.500  0.000
N  0.000  0.000  0.500
Ni  0.000  0.000  0.000